HoZnInGa | GGA-PBE | optimized geometry

## Properties
ρ: 8.137 g/cm3
Formation energy: -0.217 eV per atom
Magnetization: 0.000 μB per cell
Density of states at the Fermi level: 2.98 states/eV/f.u.
E_tot: -3.12 eV per atom

```
data_HoZnInGa
_symmetry_space_group_name_H-M 'F -4 3 m'
_symmetry_Int_Tables_number 216
_symmetry_space_group_name_Hall 'F -4 2 3'
_cell_length_a 6.9703
_cell_length_b 6.9703
_cell_length_c 6.9703
_cell_angle_alpha 90.00
_cell_angle_beta 90.00
_cell_angle_gamma 90.00
loop_
_atom_site_label
_atom_site_type_symbol
_atom_site_fract_x
_atom_site_fract_y
_atom_site_fract_z
Ho1 Ho 0.0000 0.0000 0.0000
Zn1 Zn 0.2500 0.2500 0.7500
In1 In 0.0000 0.0000 0.5000
Ga1 Ga 0.2500 0.2500 0.2500
```



Zn2CuSi | GGA-PBE | optimized geometry

## Properties
ρ: 6.378 g/cm3
Magnetization: 0.000 μB per cell
Density of states at the Fermi level: 0.71 states/eV/f.u.
E_tot: -2.91 eV per atom

```
data_Zn2CuSi
_symmetry_space_group_name_H-M 'C 1 m 1'
_symmetry_Int_Tables_number 8
_symmetry_space_group_name_Hall 'C -2y'
_cell_length_a 8.4401
_cell_length_b 2.6434
_cell_length_c 5.3644
_cell_angle_alpha 90.00
_cell_angle_beta 104.56
_cell_angle_gamma 90.00
loop_
_atom_site_label
_atom_site_type_symbol
_atom_site_fract_x
_atom_site_fract_y
_atom_site_fract_z
Zn1 Zn 0.0000 0.0000 0.0000
Zn2 Zn 0.2424 0.0000 0.7559
Cu1 Cu 0.4965 0.0000 0.4876
Si1 Si 0.2501 0.5000 0.2920
```